# CaHf2Ti2

Crystalline CaHf2Ti2 at its relaxed geometry (PBE-GGA, Alexandria via LeMat-Bulk).

Cell lengths 8.414, 8.414, 3.237 Å; angles 90.00, 90.00, 90.00 degrees
Space group P4/mbm (No. 127)
Symmetry-distinct sites (fractional):
1 Ca 0.000 0.000 0.000 [2 per cell]
2 Hf 0.126 0.374 0.000 [4 per cell]
3 Ti 0.163 0.663 0.500 [4 per cell]

Properties
Offset from the most stable computed form in eV per atom: 0.0467
Energy of formation from the pure elements in meV per atom: 274
Size of the total moment in μB per formula unit: 0.0